Material: Dy2MgSc4
Method: DFT, PBE
State: relaxed

The calculation puts the total magnetization at 0.000 μB per formula unit.

abc: 3.313 3.308 16.991
angles: 90.00 95.59 90.00
Atoms (fractional coordinates):
Sc 0.934 0.500 0.869
Sc 0.632 0.000 0.264
Sc 0.368 0.000 0.736
Sc 0.066 0.500 0.131
Dy 0.796 0.500 0.591
Dy 0.204 0.500 0.409
Mg 0.500 0.000 0.000

Material: Dy2Mg3Sc
Method: DFT, PBE
State: relaxed

The calculation puts the total magnetization at 0.000 μB per formula unit.

abc: 3.722 3.722 11.202
angles: 90.00 90.00 90.00
Atoms (fractional coordinates):
Mg 0.000 0.000 0.000
Mg 0.000 0.000 0.348
Mg 0.000 0.000 0.652
Sc 0.500 0.500 0.500
Dy 0.500 0.500 0.828
Dy 0.500 0.500 0.172

Material: Dy3MgSc3
Method: DFT, PBE
State: relaxed

The polymorph energy (0 for the lowest one) is 0 meV/atom. The calculation puts the total magnetization at 0.692 μB per formula unit.

abc: 5.359 9.074 9.070
angles: 120.01 90.00 90.00
Site moments in Bohr magnetons follow the coordinates.
Atoms (fractional coordinates):
Mg 0.250 0.667 0.333  0.00
Mg 0.750 0.333 0.667  0.00
Dy 0.750 0.466 0.367  0.12
Dy 0.250 0.534 0.633  0.12
Dy 0.750 0.633 0.099  0.12
Dy 0.250 0.367 0.901  0.12
Dy 0.250 0.099 0.466  0.12
Dy 0.750 0.901 0.534  0.12
Sc 0.750 0.771 0.822  0.04
Sc 0.750 0.178 0.949  0.04
Sc 0.250 0.949 0.771  0.04
Sc 0.750 0.051 0.229  0.04
Sc 0.250 0.822 0.051  0.04
Sc 0.250 0.229 0.178  0.04

Short version: ΔE_f = 70, -59, 22 meV per atom, in the order given.